(1)
Density functional theory data (PBE with a Hubbard U) for a relaxed TlVGaF6 crystal.

Cell lengths 5.4924, 5.4924, 11.9445 Å; angles 90.00, 90.00, 120.00 degrees
Sites, in units of the cell vectors:
Tl: 0.0000 0.0000 0.0000
Tl: 0.0000 0.0000 0.5000
V: 0.3333 0.6667 0.2500
V: 0.6667 0.3333 0.7500
Ga: 0.3333 0.6667 0.7500
Ga: 0.6667 0.3333 0.2500
F: 0.0265 0.3890 0.6598
F: 0.0265 0.6375 0.8402
F: 0.3625 0.3890 0.8402
F: 0.3625 0.9735 0.6598
F: 0.3890 0.0265 0.1598
F: 0.3890 0.3625 0.3402
F: 0.6110 0.6375 0.6598
F: 0.6110 0.9735 0.8402
F: 0.6375 0.0265 0.3402
F: 0.6375 0.6110 0.1598
F: 0.9735 0.3625 0.1598
F: 0.9735 0.6110 0.3402

Calculated values
E ... -5.169 eV per atom
DOS(E_F) ... 0.0000 states/eV per atom

=====

(2)
Density functional theory data (PBE with a Hubbard U) for a relaxed TlGaWF2 crystal.

Cell lengths 4.2316, 4.2316, 6.1395 Å; angles 90.00, 90.00, 90.00 degrees
Sites, in units of the cell vectors:
Tl: 0.0000 0.0000 0.0000
Ga: 0.5000 0.5000 0.0000
W: 0.0000 0.0000 0.5000
F: 0.0000 0.5000 0.5000
F: 0.5000 0.0000 0.5000

Calculated values
E ... -4.237 eV per atom
DOS(E_F) ... 0.2773 states/eV per atom

=====

Q: Among the records above, which one has the highest E?
A: TlGaWF2

=====

Q: What is the DOS(E_F) in the second record?
A: 0.2773 states/eV per atom